The following is a GGA-PBE calculation of HoPaIn after structural relaxation, from the Alexandria database.

Lattice parameters (Å, degrees): 3.2381 3.2381 15.0067 90.00 90.00 90.00
With the nearest neighbours (Å) after each atom.
Fractional positions:
Ho1 0.0000 0.0000 0.0000  4 Ho 3.24, 4 In 3.34, 4 Pa 3.47
Ho2 0.5000 0.5000 0.5000  4 Ho 3.24, 4 In 3.34, 4 Pa 3.47
Pa1 0.0000 0.0000 0.6740  4 Pa 3.24, 4 In 3.36, 4 Ho 3.47
Pa2 0.5000 0.5000 0.1740  4 Pa 3.24, 4 In 3.36, 4 Ho 3.47
In1 0.0000 0.0000 0.3376  4 In 3.24, 4 Ho 3.34, 4 Pa 3.36
In2 0.5000 0.5000 0.8376  4 In 3.24, 4 Ho 3.34, 4 Pa 3.36

Properties
ΔH_f (0 K): -0.05 eV per atom
polymorph energy (0 for the lowest one): 0 meV/atom
symmetry: I4mm (107)

The following is a GGA-PBE calculation of NdHo14Mg after structural relaxation, from the Alexandria database.

Lattice parameters (Å, degrees): 9.9631 7.0233 7.0233 90.00 90.00 90.00
With the nearest neighbours (Å) after each atom.
Fractional positions:
Nd1 0.0000 0.0000 0.0000  12 Ho 3.51-3.52
Ho1 0.0000 0.0002 0.4999  2 Mg 3.51, 2 Nd 3.51, 8 Ho 3.52
Ho2 0.0000 0.4999 0.0002  2 Mg 3.51, 2 Nd 3.51, 8 Ho 3.52
Ho3 0.2509 0.2493 0.2493  10 Ho 3.50-3.52, 1 Nd 3.52, 1 Mg 3.53
Ho4 0.2507 0.2493 0.7506  10 Ho 3.50-3.52, 1 Nd 3.52, 1 Mg 3.53
Ho5 0.2507 0.7506 0.2493  10 Ho 3.50-3.52, 1 Nd 3.52, 1 Mg 3.53
Ho6 0.2506 0.7506 0.7506  10 Ho 3.50-3.52, 1 Nd 3.52, 1 Mg 3.52
Ho7 0.5000 0.9998 0.9998  12 Ho 3.51
Ho8 0.5000 0.9999 0.4999  12 Ho 3.51
Ho9 0.5000 0.4999 0.9999  12 Ho 3.51
Ho10 0.5000 0.5000 0.5000  12 Ho 3.51-3.52
Ho11 0.7491 0.2493 0.2493  10 Ho 3.50-3.52, 1 Nd 3.52, 1 Mg 3.53
Ho12 0.7493 0.2493 0.7506  10 Ho 3.50-3.52, 1 Nd 3.52, 1 Mg 3.53
Ho13 0.7493 0.7506 0.2493  10 Ho 3.50-3.52, 1 Nd 3.52, 1 Mg 3.53
Ho14 0.7494 0.7506 0.7506  10 Ho 3.50-3.52, 1 Nd 3.52, 1 Mg 3.52
Mg1 0.0000 0.5005 0.5005  12 Ho 3.51-3.53

Properties
ΔH_f (0 K): 0.02 eV per atom
symmetry: Amm2 (38)

The following is a GGA-PBE calculation of Pa2HgPbO8 after structural relaxation, from the Alexandria database.

Lattice parameters (Å, degrees): 6.1019 6.1019 6.1806 90.00 90.00 120.00
With the nearest neighbours (Å) after each atom.
Fractional positions:
Pa1 0.3333 0.6667 0.4118  1 O 1.93
Pa2 0.6667 0.3333 0.5882  1 O 1.93
Hg1 0.0000 0.0000 0.5000  6 O 2.30
Pb1 0.0000 0.0000 0.0000  6 O 2.98, 2 Hg 3.09
O1 0.0583 0.3673 0.6555  1 Hg 2.30, 2 Pa 2.31-2.33
O2 0.3090 0.9417 0.6555  1 Hg 2.30, 2 Pa 2.31-2.33
O3 0.3333 0.6667 0.0995  1 Pa 1.93
O4 0.3673 0.3090 0.3445  1 Hg 2.30, 2 Pa 2.31-2.33
O5 0.6327 0.6910 0.6555  1 Hg 2.30, 2 Pa 2.31-2.33
O6 0.6667 0.3333 0.9005  1 Pa 1.93
O7 0.6910 0.0583 0.3445  1 Hg 2.30, 2 Pa 2.31-2.33
O8 0.9417 0.6327 0.3445  1 Hg 2.30, 2 Pa 2.31-2.33

Properties
uncorrected formation energy: -1.85 eV/atom
symmetry: P-3 (147)

The following is a GGA-PBE calculation of AcTi2 after structural relaxation, from the Alexandria database.

Lattice parameters (Å, degrees): 5.9910 5.9910 5.9910 60.00 60.00 60.00
With the nearest neighbours (Å) after each atom.
Fractional positions:
Ac1 0.1250 0.1250 0.1250  12 Ti 3.51, 4 Ac 3.67
Ac2 0.8750 0.8750 0.8750  12 Ti 3.51, 4 Ac 3.67
Ti1 0.0000 0.5000 0.5000  6 Ti 3.00
Ti2 0.5000 0.0000 0.5000  6 Ti 3.00
Ti3 0.5000 0.5000 0.0000  6 Ti 3.00
Ti4 0.5000 0.5000 0.5000  6 Ti 3.00

Properties
ΔH_f (0 K): 0.42 eV per atom
symmetry: Fd-3m (227)

The following is a GGA-PBE calculation of Tb9Dy2Er after structural relaxation, from the Alexandria database.

Lattice parameters (Å, degrees): 11.2010 11.2010 3.4826 90.00 90.00 120.00
With the nearest neighbours (Å) after each atom.
Fractional positions:
Tb1 0.0000 0.5000 0.0000  2 Dy 3.23, 10 Tb 3.48-3.60
Tb2 0.1750 0.3499 0.5000  8 Tb 3.39-3.60, 2 Dy 3.53
Tb3 0.1750 0.8250 0.5000  8 Tb 3.39-3.60, 2 Dy 3.53
Tb4 0.3499 0.1750 0.5000  8 Tb 3.39-3.60, 2 Dy 3.53
Tb5 0.5000 0.0000 0.0000  2 Dy 3.23, 10 Tb 3.48-3.60
Tb6 0.5000 0.5000 0.0000  2 Dy 3.23, 10 Tb 3.48-3.60
Tb7 0.6501 0.8250 0.5000  8 Tb 3.39-3.60, 2 Dy 3.53
Tb8 0.8250 0.1750 0.5000  8 Tb 3.39-3.60, 2 Dy 3.53
Tb9 0.8250 0.6501 0.5000  8 Tb 3.39-3.60, 2 Dy 3.53
Dy1 0.3333 0.6667 0.0000  9 Tb 3.23-3.53, 2 Dy 3.48
Dy2 0.6667 0.3333 0.0000  9 Tb 3.23-3.53, 2 Dy 3.48
Er1 0.0000 0.0000 0.0000  2 Er 3.48, 12 Tb 3.82

Properties
ΔH_f (0 K): 0.05 eV per atom
polymorph energy (0 for the lowest one): 33 meV/atom
symmetry: P6/mmm (191)

The following is a GGA-PBE calculation of Y2MgH after structural relaxation, from the Alexandria database.

Lattice parameters (Å, degrees): 3.5935 3.5935 24.1475 90.00 90.00 120.00
With the nearest neighbours (Å) after each atom.
Fractional positions:
Y1 0.0000 0.0000 0.2232  3 H 2.48
Y2 0.0000 0.0000 0.7768  3 H 2.48
Y3 0.3333 0.6667 0.4435  3 H 2.48
Y4 0.3333 0.6667 0.8899  3 H 2.48
Y5 0.6667 0.3333 0.1101  3 H 2.48
Y6 0.6667 0.3333 0.5565  3 H 2.48
Mg1 0.0000 0.0000 0.0000  6 Y 3.37, 6 Mg 3.59
Mg2 0.3333 0.6667 0.6667  6 Y 3.37, 6 Mg 3.59
Mg3 0.6667 0.3333 0.3333  6 Y 3.37, 6 Mg 3.59
H1 0.0000 0.0000 0.5000  6 Y 2.48
H2 0.3333 0.6667 0.1667  6 Y 2.48
H3 0.6667 0.3333 0.8333  6 Y 2.48

Properties
polymorph energy (0 for the lowest one): 0 meV/atom
symmetry: R-3m (166)

The following is a GGA-PBE calculation of Cu5Au after structural relaxation, from the Alexandria database.

Lattice parameters (Å, degrees): 3.6961 11.2212 3.7692 90.00 90.00 90.00
With the nearest neighbours (Å) after each atom.
Fractional positions:
Cu1 0.0000 0.0000 0.0000  4 Au 2.64, 8 Cu 2.67-2.70
Cu2 0.0000 0.1728 0.5000  10 Cu 2.53-2.70, 2 Au 2.68
Cu3 0.0000 0.3283 0.0000  10 Cu 2.55-2.67, 2 Au 2.70
Cu4 0.0000 0.6717 0.0000  10 Cu 2.55-2.67, 2 Au 2.70
Cu5 0.0000 0.8272 0.5000  10 Cu 2.53-2.70, 2 Au 2.68
Cu6 0.5000 0.1717 0.0000  10 Cu 2.55-2.67, 2 Au 2.70
Cu7 0.5000 0.3272 0.5000  10 Cu 2.53-2.70, 2 Au 2.68
Cu8 0.5000 0.5000 0.0000  4 Au 2.64, 8 Cu 2.67-2.70
Cu9 0.5000 0.6728 0.5000  10 Cu 2.53-2.70, 2 Au 2.68
Cu10 0.5000 0.8283 0.0000  10 Cu 2.55-2.67, 2 Au 2.70
Au1 0.0000 0.5000 0.5000  12 Cu 2.64-2.70
Au2 0.5000 0.0000 0.5000  12 Cu 2.64-2.70

Properties
ΔH_f (0 K): -0.02 eV per atom
polymorph energy (0 for the lowest one): 0 meV/atom
symmetry: Cmmm (65)

The following is a GGA-PBE calculation of LaGdNiPt after structural relaxation, from the Alexandria database.

Lattice parameters (Å, degrees): 7.1073 7.1073 7.1073 90.00 90.00 90.00
With the nearest neighbours (Å) after each atom.
Fractional positions:
La1 0.0000 0.0000 0.0000  4 Ni 3.08, 4 Pt 3.08
La2 0.0000 0.5000 0.5000  4 Ni 3.08, 4 Pt 3.08
La3 0.5000 0.0000 0.5000  4 Ni 3.08, 4 Pt 3.08
La4 0.5000 0.5000 0.0000  4 Ni 3.08, 4 Pt 3.08
Gd1 0.0000 0.0000 0.5000  4 Pt 3.08, 4 Ni 3.08
Gd2 0.0000 0.5000 0.0000  4 Pt 3.08, 4 Ni 3.08
Gd3 0.5000 0.0000 0.0000  4 Pt 3.08, 4 Ni 3.08
Gd4 0.5000 0.5000 0.5000  4 Pt 3.08, 4 Ni 3.08
Ni1 0.2500 0.2500 0.7500  4 Gd 3.08, 4 La 3.08
Ni2 0.2500 0.7500 0.2500  4 Gd 3.08, 4 La 3.08
Ni3 0.7500 0.2500 0.2500  4 Gd 3.08, 4 La 3.08
Ni4 0.7500 0.7500 0.7500  4 Gd 3.08, 4 La 3.08
Pt1 0.2500 0.2500 0.2500  4 Gd 3.08, 4 La 3.08
Pt2 0.2500 0.7500 0.7500  4 Gd 3.08, 4 La 3.08
Pt3 0.7500 0.2500 0.7500  4 Gd 3.08, 4 La 3.08
Pt4 0.7500 0.7500 0.2500  4 Gd 3.08, 4 La 3.08

Properties
ΔH_f (0 K): -0.69 eV per atom
symmetry: F-43m (216)

Per-record spin magnetization, μB per formula unit: 0.00; 0.00; 2.09; 2.90; 0.00; 0.00; 0.00; 7.20
Per-record E, eV per atom: -5.6510; -4.3819; -7.0714; -6.2088; -4.5680; -4.6496; -3.9794; -8.3945